Material: Li2MgZr
Method: DFT, PBE-GGA
State: optimized geometry

crystal system: orthorhombic
total magnetization: 0.00 μB/cell
space group: Cmmm (65)
VASP energy: -0.239 Ry/atom
V: 83.9 Å³ per cell

Cell lengths 5.7428, 5.7428, 2.7931 Å; angles 90.00, 90.00, 114.44 degrees
Closest atoms and distances in Å follow each position.
Sites, in units of the cell vectors:
Li  0.5000  0.5000  0.0000  4 Li 2.79-3.11
Li  0.0000  0.0000  0.0000  4 Li 2.79-3.11
Zr  0.0000  0.5000  0.5000  2 Zr 2.79, 2 Mg 3.11
Mg  0.5000  0.0000  0.5000  2 Mg 2.79, 2 Zr 3.11

Material: Li2MgZr
Method: DFT, PBE-GGA
State: optimized geometry

crystal system: monoclinic
total magnetization: 0.00 μB/cell
space group: C2/m (12)
VASP energy: -0.245 Ry/atom
V: 83.1 Å³ per cell

Cell lengths 5.2659, 5.2659, 5.8227 Å; angles 85.21, 85.21, 31.09 degrees
Closest atoms and distances in Å follow each position.
Sites, in units of the cell vectors:
Mg  0.2500  0.2500  0.2500  2 Mg 2.82, 6 Li 3.04-3.11
Li  0.5025  0.5025  0.4941  2 Li 2.82, 1 Zr 3.03, 3 Mg 3.04-3.11
Li  0.9975  0.9975  0.0059  2 Li 2.82, 1 Zr 3.03, 3 Mg 3.04-3.11
Zr  0.7500  0.7500  0.7500  2 Zr 2.82, 2 Li 3.03

Material: LiMg14Zr
Method: DFT, PBE-GGA
State: optimized geometry

crystal system: hexagonal
total magnetization: 0.00 μB/cell
space group: P-6m2 (187)
VASP energy: -0.151 Ry/atom
V: 361.0 Å³ per cell

Cell lengths 6.4073, 6.4073, 10.1547 Å; angles 90.00, 90.00, 120.00 degrees
Closest atoms and distances in Å follow each position.
Sites, in units of the cell vectors:
Mg  0.9995  0.4997  0.5000  10 Mg 3.16-3.21, 2 Li 3.20
Mg  0.1629  0.3258  0.7507  1 Zr 3.11, 1 Li 3.12, 10 Mg 3.13-3.28
Mg  0.4963  0.9926  0.0000  10 Mg 3.11-3.27, 2 Zr 3.20
Mg  0.1629  0.3258  0.2493  1 Zr 3.11, 1 Li 3.12, 10 Mg 3.13-3.28
Mg  0.1629  0.8371  0.2493  1 Zr 3.11, 1 Li 3.12, 10 Mg 3.13-3.28
Mg  0.6742  0.8371  0.7507  1 Zr 3.11, 1 Li 3.12, 10 Mg 3.13-3.28
Mg  0.1629  0.8371  0.7507  1 Zr 3.11, 1 Li 3.12, 10 Mg 3.13-3.28
Mg  0.5003  0.0005  0.5000  10 Mg 3.16-3.21, 2 Li 3.20
Mg  0.4963  0.5037  0.0000  10 Mg 3.11-3.27, 2 Zr 3.20
Mg  0.6667  0.3333  0.2435  12 Mg 3.11-3.20
Mg  0.6742  0.8371  0.2493  1 Zr 3.11, 1 Li 3.12, 10 Mg 3.13-3.28
Mg  0.5003  0.4997  0.5000  10 Mg 3.16-3.21, 2 Li 3.20
Mg  0.0074  0.5037  0.0000  10 Mg 3.11-3.27, 2 Zr 3.20
Mg  0.6667  0.3333  0.7565  12 Mg 3.11-3.20
Zr  0.0000  0.0000  0.0000  12 Mg 3.11-3.20
Li  0.0000  0.0000  0.5000  12 Mg 3.12-3.20